Below is a geometry-optimized Co2SiBr structure, with properties calculated at the GGA-PBE level.

ΔE_f (raw) = 20.9 kJ per mole of atoms
symmetry = No. 123
calculated density = 6.8 g/cm³
raw total energy = -5.1099 eV per atom
magnetic moment = 0.00 μB per cell
DOS(E_F) = 3.5 states/eV/cell

Unit cell a=2.860 b=2.860 c=6.707 alpha=90.00 beta=90.00 gamma=89.97
Positions (direct):
Co  0.000  0.000  0.060
Co  0.000  0.000  0.440
Si  0.500  0.500  0.250
Br  0.500  0.500  0.750